Record 1
## SiP3 (meta-GGA SCAN)

Data for SiP3 at its PBEsol-relaxed geometry.

POSCAR file:
```
SiP3
1.0
4.267 0.000 0.000
0.000 4.267 0.000
0.000 0.000 6.017
Si P
2 6
direct
0.000 0.000 0.000 Si
0.500 0.500 0.500 Si
0.000 0.000 0.500 P
0.000 0.500 0.250 P
0.000 0.500 0.750 P
0.500 0.000 0.250 P
0.500 0.000 0.750 P
0.500 0.500 0.000 P
```

Summary:
The theoretical density comes out at 3.7 g/cm3. For the uncorrected formation energy, the calculation gives 311 kJ/mol of formula units.

Record 2
## Ti2Be2Cu (meta-GGA SCAN)

Data for Ti2Be2Cu at its PBEsol-relaxed geometry.

POSCAR file:
```
Ti2Be2Cu
1.0
5.850 0.000 0.000
0.000 5.850 0.000
0.000 0.000 3.552
Ti Be Cu
4 4 2
direct
0.170 0.330 0.000 Ti
0.330 0.830 0.000 Ti
0.670 0.170 0.000 Ti
0.830 0.670 0.000 Ti
0.129 0.629 0.500 Be
0.371 0.129 0.500 Be
0.629 0.871 0.500 Be
0.871 0.371 0.500 Be
0.000 0.000 0.500 Cu
0.500 0.500 0.500 Cu
```

Summary:
The theoretical density comes out at 4.8 g/cm3. The value obtained for the formation energy is -184 meV/atom.

Record 3
## Tl2GaS (meta-GGA SCAN)

Data for Tl2GaS at its PBEsol-relaxed geometry.

POSCAR file:
```
Tl2GaS
1.0
7.240 0.000 0.000
0.000 7.240 0.000
0.000 0.000 7.240
Tl Ga S
8 4 4
direct
0.250 0.250 0.250 Tl
0.250 0.250 0.750 Tl
0.250 0.750 0.250 Tl
0.250 0.750 0.750 Tl
0.750 0.250 0.250 Tl
0.750 0.250 0.750 Tl
0.750 0.750 0.250 Tl
0.750 0.750 0.750 Tl
0.000 0.000 0.000 Ga
0.000 0.500 0.500 Ga
0.500 0.000 0.500 Ga
0.500 0.500 0.000 Ga
0.000 0.000 0.500 S
0.000 0.500 0.000 S
0.500 0.000 0.000 S
0.500 0.500 0.500 S
```

Summary:
The theoretical density comes out at 8.9 g/cm3. For the uncorrected formation energy, the calculation gives 48 kJ/mol of formula units.

Record 4
## ZnBi2P2 (meta-GGA SCAN)

Data for ZnBi2P2 at its PBEsol-relaxed geometry.

POSCAR file:
```
ZnBi2P2
1.0
7.499 0.000 0.000
0.000 7.499 0.000
0.000 0.000 3.919
Zn Bi P
2 4 4
direct
0.000 0.000 0.000 Zn
0.500 0.500 0.000 Zn
0.157 0.343 0.500 Bi
0.343 0.843 0.500 Bi
0.657 0.157 0.500 Bi
0.843 0.657 0.500 Bi
0.160 0.660 0.000 P
0.340 0.160 0.000 P
0.660 0.840 0.000 P
0.840 0.340 0.000 P
```

Summary:
The theoretical density comes out at 8.2 g/cm3. The value obtained for the formation energy is 478 meV/atom.

Record 5
## Mn2CoRe (meta-GGA SCAN)

Data for Mn2CoRe at its PBEsol-relaxed geometry.

POSCAR file:
```
Mn2CoRe
1.0
2.571 0.000 0.000
-1.286 2.227 0.000
0.000 0.000 24.451
Mn Co Re
6 3 3
direct
0.000 0.000 0.000 Mn
0.000 0.000 0.257 Mn
0.333 0.667 0.667 Mn
0.333 0.667 0.923 Mn
0.667 0.333 0.333 Mn
0.667 0.333 0.590 Mn
0.000 0.000 0.747 Co
0.333 0.667 0.414 Co
0.667 0.333 0.081 Co
0.000 0.000 0.500 Re
0.333 0.667 0.167 Re
0.667 0.333 0.834 Re
```

Summary:
The theoretical density comes out at 12.6 g/cm3. The value obtained for the formation energy is 135 meV/atom.

Record 6
## YP2Br (meta-GGA SCAN)

Data for YP2Br at its PBEsol-relaxed geometry.

POSCAR file:
```
YP2Br
1.0
3.806 0.000 0.000
0.000 3.967 0.000
0.000 0.000 10.174
Y P Br
2 4 2
direct
0.000 0.000 0.000 Y
0.500 0.500 0.500 Y
0.000 0.500 0.254 P
0.000 0.500 0.746 P
0.500 0.000 0.246 P
0.500 0.000 0.754 P
0.000 0.000 0.500 Br
0.500 0.500 0.000 Br
```

Summary:
The theoretical density comes out at 5.0 g/cm3. For the uncorrected formation energy, the calculation gives -201 kJ/mol of formula units.

Record 7
## SiP2SCl (meta-GGA SCAN)

Data for SiP2SCl at its PBEsol-relaxed geometry.

POSCAR file:
```
SiP2SCl
1.0
4.570 0.000 0.000
0.000 4.570 0.000
0.000 0.000 4.468
Si P S Cl
1 2 1 1
direct
0.000 0.000 0.000 Si
0.000 0.500 0.500 P
0.500 0.000 0.500 P
0.500 0.500 0.000 S
0.500 0.500 0.500 Cl
```

Summary:
The theoretical density comes out at 2.8 g/cm3. Its offset from the most stable computed form is 2.42 eV/f.u. For the uncorrected formation energy, the calculation gives 766 kJ/mol of formula units.

Record 8
## CuP4Se4I (meta-GGA SCAN)

Data for CuP4Se4I at its PBEsol-relaxed geometry.

POSCAR file:
```
CuP4Se4I
1.0
7.351 -5.924 0.000
7.351 5.924 0.000
0.000 0.000 12.316
Cu P Se I
4 16 16 4
direct
0.097 0.097 0.000 Cu
0.403 0.403 0.500 Cu
0.597 0.597 0.500 Cu
0.903 0.903 0.000 Cu
0.047 0.738 0.745 P
0.141 0.224 0.144 P
0.224 0.141 0.856 P
0.238 0.547 0.245 P
0.262 0.953 0.745 P
0.276 0.359 0.356 P
0.359 0.276 0.644 P
0.453 0.762 0.245 P
0.547 0.238 0.755 P
0.641 0.724 0.356 P
0.724 0.641 0.644 P
0.738 0.047 0.255 P
0.762 0.453 0.755 P
0.776 0.859 0.144 P
0.859 0.776 0.856 P
0.953 0.262 0.255 P
0.026 0.974 0.695 Se
0.043 0.359 0.404 Se
0.141 0.457 0.096 Se
0.159 0.341 0.750 Se
0.341 0.159 0.250 Se
0.359 0.043 0.596 Se
0.457 0.141 0.904 Se
0.474 0.526 0.195 Se
0.526 0.474 0.805 Se
0.543 0.859 0.096 Se
0.641 0.957 0.404 Se
0.659 0.841 0.750 Se
0.841 0.659 0.250 Se
0.859 0.543 0.904 Se
0.957 0.641 0.596 Se
0.974 0.026 0.305 Se
0.182 0.818 0.025 I
0.318 0.682 0.525 I
0.682 0.318 0.475 I
0.818 0.182 0.975 I
```

Summary:
The theoretical density comes out at 3.9 g/cm3. For the uncorrected formation energy, the calculation gives -157 kJ/mol of formula units.

Record 9
## YTlSb2 (meta-GGA SCAN)

Data for YTlSb2 at its PBEsol-relaxed geometry.

POSCAR file:
```
YTlSb2
1.0
4.946 0.000 0.000
0.000 4.946 0.000
0.000 0.000 4.266
Y Tl Sb
1 1 2
direct
0.000 0.000 0.000 Y
0.500 0.500 0.000 Tl
0.000 0.500 0.500 Sb
0.500 0.000 0.500 Sb
```

Summary:
The theoretical density comes out at 8.5 g/cm3. Its offset from the most stable computed form is 0.41 eV/f.u. For the uncorrected formation energy, the calculation gives -177 kJ/mol of formula units.

Record 10
## Si2OsPt (meta-GGA SCAN)

Data for Si2OsPt at its PBEsol-relaxed geometry.

POSCAR file:
```
Si2OsPt
1.0
2.782 0.000 0.000
0.000 3.548 0.000
0.000 0.000 11.861
Si Os Pt
4 2 2
direct
0.000 0.000 0.000 Si
0.000 0.500 0.244 Si
0.500 0.000 0.744 Si
0.500 0.500 0.500 Si
0.000 0.500 0.669 Os
0.500 0.000 0.169 Os
0.000 0.000 0.401 Pt
0.500 0.500 0.901 Pt
```

Summary:
The theoretical density comes out at 12.5 g/cm3. For the uncorrected formation energy, the calculation gives -144 kJ/mol of formula units.

| no. | spin magnetization (μB per formula unit) | density of states at the Fermi level (states/eV per cell) | electronic total energy (eV per cell) |
| --- | --- | --- | --- |
| 1 | 0.00 | 2.7 | -75.99 |
| 2 | 0.00 | 6.5 | -113.78 |
| 3 | 0.00 | 9.8 | -680.77 |
| 4 | 0.00 | 6.1 | -378.16 |
| 5 | 2.15 | 11.7 | -373.11 |
| 6 | 0.00 | 2.9 | -140.36 |
| 7 | 0.00 | 3.4 | -40.48 |
| 8 | 0.00 | 0.0 | -701.91 |
| 9 | 0.00 | 1.8 | -176.56 |
| 10 | 0.00 | 3.1 | -327.20 |